# 1
Computed, not measured: a geometry-optimized LaTmBi structure at the PBE-GGA level of DFT.

extended XYZ file:
```
3
Lattice="0.0000 3.7303 3.7303 3.7303 0.0000 3.7303 3.7303 3.7303 0.0000" Properties=species:S:1:pos:R:3 pbc="T T T"
Bi 0.0000 0.0000 0.0000
Tm 5.5954 5.5954 5.5954
La 1.8651 1.8651 1.8651
```

Values from the calculation:
The value obtained for the calculated total energy is -14.43 eV/cell. The magnetic moment comes out at 0.019 μB per formula unit. The space group is F-43m.

# 2
Computed, not measured: a geometry-optimized LaBiW structure at the PBE-GGA level of DFT.

extended XYZ file:
```
3
Lattice="0.0000 3.4560 3.4560 3.4560 0.0000 3.4560 3.4560 3.4560 0.0000" Properties=species:S:1:pos:R:3 pbc="T T T"
W 0.0000 0.0000 0.0000
Bi 1.7280 1.7280 1.7280
La 5.1840 5.1840 5.1840
```

Values from the calculation:
The value obtained for the calculated total energy is -19.86 eV/cell. The magnetic moment comes out at 0.047 μB per formula unit. The space group is F-43m.

# 3
Computed, not measured: a geometry-optimized LaBiW structure at the PBE-GGA level of DFT.

extended XYZ file:
```
3
Lattice="0.0000 3.6792 3.6792 3.6792 0.0000 3.6792 3.6792 3.6792 0.0000" Properties=species:S:1:pos:R:3 pbc="T T T"
Bi 1.8396 1.8396 1.8396
W 5.5189 5.5189 5.5189
La 0.0000 0.0000 0.0000
```

Values from the calculation:
The value obtained for the calculated total energy is -17.94 eV/cell. The magnetic moment comes out at 3.730 μB per formula unit. The space group is F-43m.

# 4
Computed, not measured: a geometry-optimized La3ZrBi5 structure at the PBE-GGA level of DFT.

extended XYZ file:
```
18
Lattice="-8.3574 -1.1999 -5.0441 7.0271 -6.8682 -0.4209 -2.6653 -3.0419 5.1396" Properties=species:S:1:pos:R:3 pbc="T T T"
La 3.6802 -5.0088 1.0246
Bi -2.8585 -1.0752 -0.0382
Bi -2.3479 -4.3977 2.4212
La -2.8218 -7.2719 0.4744
Bi -1.6477 -6.7123 -2.7466
Bi 0.5663 -6.4997 0.6078
Zr -1.3327 -1.5210 2.5698
Zr 0.0000 0.0000 0.0000
Bi 1.1769 -2.5620 1.1745
La -1.1738 -3.8381 -0.7998
La -5.1870 -2.7391 1.9306
La -5.8358 -1.5026 -1.8351
Bi 3.1849 -7.3481 3.5442
Bi -3.2293 -3.0893 -3.5031
Bi -4.5619 -4.6103 -0.9332
La 0.6816 -4.9014 3.6942
Bi -8.1642 -3.1666 0.1337
Bi 1.8989 -4.9788 -1.9620
```

Values from the calculation:
The value obtained for the calculated total energy is -102.52 eV/cell. The magnetic moment comes out at 0.001 μB per formula unit. The space group is P6_3/mcm.

# 5
Computed, not measured: a geometry-optimized LiLuBi structure at the PBE-GGA level of DFT.

extended XYZ file:
```
3
Lattice="0.0000 3.2995 3.2995 3.2995 0.0000 3.2995 3.2995 3.2995 0.0000" Properties=species:S:1:pos:R:3 pbc="T T T"
Bi 1.6498 1.6498 1.6498
Lu 4.9493 4.9493 4.9493
Li 0.0000 0.0000 0.0000
```

Values from the calculation:
The value obtained for the calculated total energy is -11.31 eV/cell. The magnetic moment comes out at 0.005 μB per formula unit. The space group is F-43m.

# 6
Computed, not measured: a geometry-optimized LiLuBi structure at the PBE-GGA level of DFT.

extended XYZ file:
```
3
Lattice="-0.8202 2.7337 4.1064 -4.5367 1.9196 0.8610 -2.8280 -1.8280 3.6971" Properties=species:S:1:pos:R:3 pbc="T T T"
Lu 0.0000 0.0000 0.0000
Bi -2.0462 0.7063 2.1661
Li -6.1387 2.1190 6.4983
```

Values from the calculation:
The value obtained for the calculated total energy is -10.86 eV/cell. The magnetic moment comes out at 0.004 μB per formula unit. The space group is F-43m.

# 7
Computed, not measured: a geometry-optimized LiLuBi2 structure at the PBE-GGA level of DFT.

extended XYZ file:
```
4
Lattice="3.2656 -3.7063 -2.0698 -1.7338 -5.0229 -0.6707 -0.8819 -1.8925 -4.9322" Properties=species:S:1:pos:R:3 pbc="T T T"
Bi 0.0000 0.0000 0.0000
Li 0.4874 -7.9663 -5.7545
Lu 0.3250 -5.3108 -3.8363
Bi 0.1625 -2.6554 -1.9182
```

Values from the calculation:
The value obtained for the calculated total energy is -14.98 eV/cell. The magnetic moment comes out at 0.001 μB per formula unit. The space group is F-43m.

# 8
Computed, not measured: a geometry-optimized Li4MgBiPt2 structure at the PBE-GGA level of DFT.

extended XYZ file:
```
8
Lattice="4.5463 0.0000 0.0000 0.0000 4.5463 0.0000 0.0000 0.0000 6.2760" Properties=species:S:1:pos:R:3 pbc="T T T"
Li 2.2731 0.0000 1.4274
Li 2.2731 2.2731 3.1380
Pt 0.0000 2.2731 1.4755
Mg 2.2731 2.2731 0.0000
Li 0.0000 0.0000 0.0000
Bi 0.0000 0.0000 3.1380
Li 0.0000 2.2731 4.8486
Pt 2.2731 0.0000 4.8005
```

Values from the calculation:
The value obtained for the calculated total energy is -29.53 eV/cell. The magnetic moment comes out at 0.002 μB per formula unit. The space group is P-4m2.

Q: The lowest calculated total energy belongs to which entry?
A: La3ZrBi5